First-principles (meta-GGA SCAN) data for a PBEsol-optimized structure of Li3HfAs, as listed in Alexandria via LeMat-Bulk.

Calculated values
Space group: Pm-3m (221)

a b c (Å): 4.483 4.483 4.483
angles (deg): 90.00 90.00 90.00
Atoms (fractional coordinates):
1 Hf 0.500 0.500 0.500
2 Li 0.000 0.000 0.500
3 Li 0.500 0.000 0.000
4 As 0.000 0.000 0.000
5 Li 0.000 0.500 0.000

First-principles (meta-GGA SCAN) data for a PBEsol-optimized structure of LiHfAs2Se, as listed in Alexandria via LeMat-Bulk.

Calculated values
Space group: P4/mmm (123)
Formation energy from raw total energies (meV per atom): -280

a b c (Å): 5.113 5.113 5.115
angles (deg): 90.00 90.00 90.00
Atoms (fractional coordinates):
1 Hf 0.000 0.000 0.000
2 Se 0.000 0.000 0.500
3 As 0.500 0.000 0.000
4 Li 0.500 0.500 0.500
5 As 0.000 0.500 0.000

First-principles (meta-GGA SCAN) data for a PBEsol-optimized structure of Hf2MgAsS, as listed in Alexandria via LeMat-Bulk.

Calculated values
Space group: P4/mmm (123)
Formation energy from raw total energies (meV per atom): -122

a b c (Å): 4.523 4.731 4.731
angles (deg): 90.00 90.00 90.00
Atoms (fractional coordinates):
1 S 0.000 0.000 0.000
2 Mg 0.500 0.000 0.000
3 As 0.500 0.500 0.500
4 Hf 0.000 0.000 0.500
5 Hf 0.000 0.500 0.000

First-principles (meta-GGA SCAN) data for a PBEsol-optimized structure of HfScMn2As, as listed in Alexandria via LeMat-Bulk.

Calculated values
Space group: P4/mmm (123)

a b c (Å): 4.471 4.471 4.812
angles (deg): 90.00 90.00 90.00
Last column: magnetic moment on the atom in μB.
Atoms (fractional coordinates):
1 Hf 0.500 0.500 0.500  -0.85
2 Mn 0.000 0.500 0.000  3.49
3 As 0.000 0.000 0.000  -0.13
4 Mn 0.500 0.000 0.000  3.49
5 Sc 0.000 0.000 0.500  -0.23

First-principles (meta-GGA SCAN) data for a PBEsol-optimized structure of NaHfZr2As, as listed in Alexandria via LeMat-Bulk.

Calculated values
Space group: P4/mmm (123)

a b c (Å): 5.110 5.147 5.147
angles (deg): 90.00 90.00 90.00
Atoms (fractional coordinates):
1 Zr 0.000 0.500 0.000
2 Hf 0.000 0.000 0.000
3 Na 0.500 0.500 0.500
4 As 0.500 0.000 0.000
5 Zr 0.000 0.000 0.500

First-principles (meta-GGA SCAN) data for a PBEsol-optimized structure of Hf3NbAs, as listed in Alexandria via LeMat-Bulk.

Calculated values
Space group: Pm-3m (221)

a b c (Å): 4.843 4.843 4.843
angles (deg): 90.00 90.00 90.00
Atoms (fractional coordinates):
1 Hf 0.500 0.000 0.000
2 Nb 0.500 0.500 0.500
3 Hf 0.000 0.500 0.000
4 Hf 0.000 0.000 0.500
5 As 0.000 0.000 0.000

First-principles (meta-GGA SCAN) data for a PBEsol-optimized structure of Hf2Ni3As3, as listed in Alexandria via LeMat-Bulk.

Calculated values
Space group: Pnma (62)

a b c (Å): 3.687 10.238 12.567
angles (deg): 90.00 90.00 90.00
Atoms (fractional coordinates):
1 As 0.250 0.739 0.857
2 Ni 0.250 0.597 0.485
3 Hf 0.750 0.832 0.506
4 Hf 0.250 0.073 0.210
5 Ni 0.750 0.861 0.283
6 Ni 0.250 0.903 0.985
7 Ni 0.750 0.226 0.835
8 Ni 0.750 0.403 0.515
9 Hf 0.250 0.332 0.994
10 Hf 0.750 0.927 0.790
11 Hf 0.250 0.168 0.494
12 Ni 0.250 0.726 0.665
13 Hf 0.750 0.573 0.290
14 As 0.250 0.552 0.125
15 Ni 0.750 0.639 0.783
16 As 0.750 0.600 0.603
17 As 0.750 0.900 0.103
18 Ni 0.250 0.774 0.165
19 Ni 0.250 0.361 0.217
20 Ni 0.250 0.139 0.717
21 As 0.250 0.100 0.897
22 Ni 0.750 0.274 0.335
23 As 0.250 0.400 0.397
24 As 0.750 0.239 0.643
25 Ni 0.750 0.097 0.015
26 As 0.250 0.948 0.625
27 As 0.750 0.261 0.143
28 As 0.750 0.448 0.875
29 As 0.250 0.761 0.357
30 Hf 0.750 0.668 0.006
31 Hf 0.250 0.427 0.710
32 As 0.750 0.052 0.375

First-principles (meta-GGA SCAN) data for a PBEsol-optimized structure of HfAsPO2, as listed in Alexandria via LeMat-Bulk.

Calculated values
Space group: P4/mmm (123)
Formation energy from raw total energies (meV per atom): -586

a b c (Å): 3.834 3.834 4.719
angles (deg): 90.00 90.00 90.00
Atoms (fractional coordinates):
1 O 0.000 0.500 0.000
2 O 0.500 0.000 0.000
3 As 0.000 0.000 0.000
4 Hf 0.500 0.500 0.500
5 P 0.000 0.000 0.500

First-principles (meta-GGA SCAN) data for a PBEsol-optimized structure of HfAsS2O, as listed in Alexandria via LeMat-Bulk.

Calculated values
Space group: P4/mmm (123)
Formation energy from raw total energies (meV per atom): 805

a b c (Å): 4.404 4.404 5.198
angles (deg): 90.00 90.00 90.00
Last column: magnetic moment on the atom in μB.
Atoms (fractional coordinates):
1 O 0.500 0.500 0.500  0.32
2 As 0.000 0.000 0.000  0.01
3 S 0.500 0.000 0.000  0.05
4 S 0.000 0.500 0.000  0.05
5 Hf 0.000 0.000 0.500  -0.07

First-principles (meta-GGA SCAN) data for a PBEsol-optimized structure of HfAsSe2O, as listed in Alexandria via LeMat-Bulk.

Calculated values
Space group: P4/mmm (123)
Formation energy from raw total energies (meV per atom): -25

a b c (Å): 4.219 4.450 4.450
angles (deg): 90.00 90.00 90.00
Atoms (fractional coordinates):
1 As 0.500 0.000 0.000
2 Se 0.000 0.000 0.500
3 O 0.000 0.000 0.000
4 Hf 0.500 0.500 0.500
5 Se 0.000 0.500 0.000

First-principles (meta-GGA SCAN) data for a PBEsol-optimized structure of HfAsOs2Se, as listed in Alexandria via LeMat-Bulk.

Calculated values
Space group: P4/mmm (123)
Formation energy from raw total energies (meV per atom): 1120

a b c (Å): 4.487 4.487 4.929
angles (deg): 90.00 90.00 90.00
Last column: magnetic moment on the atom in μB.
Atoms (fractional coordinates):
1 Os 0.000 0.500 0.000  0.55
2 As 0.000 0.000 0.000  -0.02
3 Hf 0.000 0.000 0.500  -0.06
4 Se 0.500 0.500 0.500  -0.01
5 Os 0.500 0.000 0.000  0.55

First-principles (meta-GGA SCAN) data for a PBEsol-optimized structure of HfAs3P, as listed in Alexandria via LeMat-Bulk.

Calculated values
Space group: Pm-3m (221)

a b c (Å): 5.029 5.029 5.029
angles (deg): 90.00 90.00 90.00
Atoms (fractional coordinates):
1 Hf 0.000 0.000 0.000
2 As 0.500 0.000 0.000
3 As 0.000 0.000 0.500
4 As 0.000 0.500 0.000
5 P 0.500 0.500 0.500

Energy readings, ordered: -17.659; -25.384; -32.150; -26.603; -29.015; -47.969; -30.076; -21.731; -20.865; -25.875; -48.221; -25.968 eV/atom